An optimized crystal structure of CaLa4Mg, computed with PBE.

Geometry as POSCAR:
```
CaLa4Mg
1.0
0.0000 4.8195 4.8195
4.8195 0.0000 4.8195
4.8195 4.8195 0.0000
La Ca Mg
4 1 1
direct
0.3777 0.3777 0.3777
0.3777 0.3777 0.8668
0.3777 0.8668 0.3777
0.8668 0.3777 0.3777
0.0000 0.0000 0.0000
0.7500 0.7500 0.7500
```

## Properties
D(E_F), states/eV per cell: 9.66
ρ, g/cm3: 4.60
Energy relative to the lowest polymorph listed for this composition, meV/atom: 224
Calculated total energy, eV per atom: -3.670
E_form, eV/atom: 0.215